A geometry-optimized KMg3Al structure, computed with PBE.

Structure (POSCAR):
```
KMg3Al
1.0
6.080 0.000 0.000
0.000 6.080 0.000
0.000 0.000 6.080
Mg Al K
3 1 1
direct
0.000 0.000 0.500 Mg
0.000 0.500 0.000 Mg
0.500 0.000 0.000 Mg
0.500 0.500 0.500 Al
0.000 0.000 0.000 K
```

Summary:
Formation energy from the elements   1.20 eV/atom
Energy relative to the lowest polymorph listed for this composition   924 meV/atom
D(E_F)   5.7 states/eV per cell

A geometry-optimized PrCd6Cu6 structure, computed with PBE.

Structure (POSCAR):
```
PrCd6Cu6
1.0
-0.241 4.426 2.779
-5.094 4.376 -2.485
-4.532 -0.613 5.509
Cu Cd Pr
6 6 1
direct
0.500 0.226 0.774 Cu
0.500 0.500 0.000 Cu
0.500 0.774 0.226 Cu
0.500 0.000 0.500 Cu
0.000 0.500 0.000 Cu
0.000 0.000 0.500 Cu
0.305 0.195 0.195 Cd
0.348 0.652 0.652 Cd
0.000 0.340 0.660 Cd
0.000 0.660 0.340 Cd
0.652 0.348 0.348 Cd
0.695 0.805 0.805 Cd
0.000 0.000 0.000 Pr
```

Summary:
Formation energy from the elements   -0.07 eV/atom
D(E_F)   7.0 states/eV per cell

A geometry-optimized SrNi2P4 structure, computed with PBE.

Structure (POSCAR):
```
SrNi2P4
1.0
10.651 0.007 -0.004
8.496 5.017 0.004
2.155 -2.294 4.453
Sr Ni P
2 4 8
direct
0.250 0.250 0.250 Sr
0.000 0.000 0.000 Sr
0.630 0.630 0.870 Ni
0.380 0.380 0.620 Ni
0.620 0.620 0.380 Ni
0.870 0.870 0.630 Ni
0.311 0.576 0.302 P
0.439 0.948 0.674 P
0.576 0.311 0.811 P
0.939 0.674 0.948 P
0.811 0.302 0.576 P
0.948 0.439 0.939 P
0.674 0.939 0.439 P
0.302 0.811 0.311 P
```

Summary:
Formation energy from the elements   -0.65 eV/atom
D(E_F)   4.6 states/eV per cell

A geometry-optimized Ba2SbAsRu structure, computed with PBE.

Structure (POSCAR):
```
Ba2SbAsRu
1.0
6.224 0.000 0.000
0.000 5.278 0.000
0.000 0.000 6.224
Ru Ba As Sb
1 2 1 1
direct
0.500 0.500 0.500 Ru
0.000 0.000 0.500 Ba
0.500 0.000 0.000 Ba
0.000 0.000 0.000 As
0.000 0.500 0.000 Sb
```

Summary:
Uncorrected formation energy   452.1 meV per atom
D(E_F)   6.8 states/eV per cell

A geometry-optimized BaScW2 structure, computed with PBE.

Structure (POSCAR):
```
BaScW2
1.0
-0.042 -0.601 4.705
-4.352 -1.865 -0.277
1.799 -10.390 1.079
Ba W Sc
2 4 2
direct
0.750 0.250 0.500 Ba
0.000 0.000 0.000 Ba
0.461 0.125 0.250 W
0.875 0.711 0.750 W
0.375 0.539 0.750 W
0.289 0.625 0.250 W
0.250 0.750 0.500 Sc
0.500 0.500 0.000 Sc
```

Summary:
Formation energy from the elements   1.46 eV/atom
Energy relative to the lowest polymorph listed for this composition   951 meV/atom
D(E_F)   13.7 states/eV per cell

A geometry-optimized YScGaOs structure, computed with PBE.

Structure (POSCAR):
```
YScGaOs
1.0
4.792 0.000 0.000
2.396 4.150 0.000
2.396 1.383 3.913
Os Ga Sc Y
1 1 1 1
direct
0.250 0.250 0.250 Os
0.750 0.750 0.750 Ga
0.500 0.500 0.500 Sc
0.000 0.000 0.000 Y
```

Summary:
Formation energy from the elements   -0.40 eV/atom
D(E_F)   3.1 states/eV per cell

A geometry-optimized LiBeZn2 structure, computed with PBE.

Structure (POSCAR):
```
LiBeZn2
1.0
-8.680 -0.076 1.672
-8.388 -2.593 1.029
-7.923 -1.807 3.479
Zn Li Be
2 1 1
direct
0.504 0.504 0.504 Zn
0.996 0.996 0.996 Zn
0.750 0.750 0.750 Li
0.250 0.250 0.250 Be
```

Summary:
Formation energy from the elements   0.08 eV/atom
D(E_F)   0.6 states/eV per cell

A geometry-optimized TbTm3Mg structure, computed with PBE.

Structure (POSCAR):
```
TbTm3Mg
1.0
3.472 0.648 0.000
0.274 8.353 0.000
0.000 0.000 10.977
Mg Tm Tb
2 6 2
direct
0.361 0.286 0.750 Mg
0.639 0.714 0.250 Mg
0.847 0.312 0.506 Tm
0.153 0.688 0.494 Tm
0.298 0.401 0.250 Tm
0.702 0.599 0.750 Tm
0.153 0.688 0.006 Tm
0.847 0.312 0.994 Tm
0.028 0.962 0.750 Tb
0.972 0.038 0.250 Tb
```

Summary:
Formation energy from the elements   0.20 eV/atom
Energy relative to the lowest polymorph listed for this composition   212 meV/atom
D(E_F)   13.6 states/eV per cell

A geometry-optimized MgCdGaRh structure, computed with PBE.

Structure (POSCAR):
```
MgCdGaRh
1.0
4.550 0.000 0.000
2.275 3.940 0.000
2.275 1.313 3.715
Ga Cd Mg Rh
1 1 1 1
direct
0.000 0.000 0.000 Ga
0.750 0.750 0.750 Cd
0.500 0.500 0.500 Mg
0.250 0.250 0.250 Rh
```

Summary:
Formation energy from the elements   -0.24 eV/atom
D(E_F)   2.3 states/eV per cell

A geometry-optimized Hf3PdF structure, computed with PBE.

Structure (POSCAR):
```
Hf3PdF
1.0
4.451 0.000 0.000
0.000 4.451 0.000
0.000 0.000 4.451
Hf Pd F
3 1 1
direct
0.000 0.000 0.500 Hf
0.000 0.500 0.000 Hf
0.500 0.000 0.000 Hf
0.500 0.500 0.500 Pd
0.000 0.000 0.000 F
```

Summary:
Uncorrected formation energy   -492.4 meV per atom
Energy relative to the lowest polymorph listed for this composition   0 meV/atom
D(E_F)   6.1 states/eV per cell

A geometry-optimized Hf2ZrCo9 structure, computed with PBE.

Structure (POSCAR):
```
Hf2ZrCo9
1.0
4.811 0.000 0.000
2.405 4.166 0.000
2.405 1.389 7.899
Hf Co Zr
2 9 1
direct
0.861 0.861 0.417 Hf
0.139 0.139 0.583 Hf
0.586 0.586 0.749 Co
0.079 0.586 0.749 Co
0.414 0.921 0.251 Co
0.500 0.500 0.500 Co
0.335 0.335 0.994 Co
0.586 0.079 0.749 Co
0.414 0.414 0.251 Co
0.665 0.665 0.006 Co
0.921 0.414 0.251 Co
0.000 0.000 0.000 Zr
```

Summary:
Formation energy from the elements   -0.29 eV/atom
D(E_F)   16.7 states/eV per cell

A geometry-optimized Cu2RePPb structure, computed with PBE.

Structure (POSCAR):
```
Cu2RePPb
1.0
-1.465 0.630 4.584
-0.851 -4.376 0.330
4.534 -0.765 1.554
Cu Pb P Re
2 1 1 1
direct
0.500 0.000 0.000 Cu
0.000 0.000 0.500 Cu
0.500 0.500 0.500 Pb
0.000 0.500 0.000 P
0.000 0.000 0.000 Re
```

Summary:
Formation energy from the elements   0.61 eV/atom
D(E_F)   2.7 states/eV per cell